## Sc2NiH (PBE)

Data for an optimized crystal structure of Sc2NiH.

Geometry as POSCAR:
```
Sc2NiH
1.0
-2.976 2.976 3.420
2.976 -2.976 3.420
2.976 2.976 -3.420
Sc Ni H
4 2 2
Cartesian
1.488 1.096 -0.855
1.880 -1.488 4.275
1.488 1.880 2.565
1.096 4.465 0.855
2.976 0.000 1.710
0.000 0.000 3.420
0.000 0.000 0.000
0.000 2.976 1.710
```

Calculated values
Offset from the most stable computed form ... 188 meV/atom
Magnetic moment ... 0.0 μB per formula unit

## CaAlAg2Au4 (PBE)

Data for an optimized crystal structure of CaAlAg2Au4.

Geometry as POSCAR:
```
CaAlAg2Au4
1.0
2.388 1.379 7.672
-2.388 1.379 7.672
0.000 -2.757 7.672
Ca Al Ag Au
1 1 2 4
Cartesian
0.000 0.000 0.000
0.000 0.000 11.508
0.000 0.000 5.950
0.000 0.000 17.065
0.000 0.000 3.118
0.000 0.000 8.941
0.000 0.000 14.074
0.000 0.000 19.898
```

Calculated values
Magnetic moment ... 0.0 μB per formula unit
Energy of formation ... -337 meV per atom

## PmCBr (PBE)

Data for an optimized crystal structure of PmCBr.

Geometry as POSCAR:
```
PmCBr
1.0
3.491 -2.004 0.000
3.491 2.004 0.000
-3.142 0.000 11.123
Pm C Br
2 2 2
Cartesian
0.006 0.000 3.948
3.833 0.000 7.175
1.499 0.000 6.085
2.339 0.000 5.038
-0.780 0.000 9.104
4.619 0.000 2.019
```

Calculated values
Formation energy (no corrections) ... -0.9846 eV per atom
Offset from the most stable computed form ... 75 meV/atom
Magnetic moment ... 0.0 μB per formula unit

## LaHf2In2 (PBE)

Data for an optimized crystal structure of LaHf2In2.

Geometry as POSCAR:
```
LaHf2In2
1.0
8.876 0.000 0.000
0.000 8.876 0.000
0.000 0.000 3.155
La Hf In
2 4 4
Cartesian
0.000 0.000 0.000
4.438 4.438 0.000
1.082 3.355 0.000
3.355 7.793 0.000
5.520 1.082 0.000
7.793 5.520 0.000
1.533 5.971 1.577
2.905 1.533 1.577
5.971 7.343 1.577
7.343 2.905 1.577
```

Calculated values
Offset from the most stable computed form ... 14 meV/atom
Magnetic moment ... 0.2 μB per formula unit
Energy of formation ... -112 meV per atom

## Er2SeN (PBE)

Data for an optimized crystal structure of Er2SeN.

Geometry as POSCAR:
```
Er2SeN
1.0
3.623 0.000 0.000
-1.812 3.138 0.000
0.000 0.000 12.957
Er Se N
4 2 2
Cartesian
0.000 2.092 1.276
0.000 2.092 5.202
1.812 1.046 7.755
1.812 1.046 11.681
0.000 2.092 9.718
1.812 1.046 3.239
0.000 0.000 0.000
0.000 0.000 6.479
```

Calculated values
Formation energy (no corrections) ... -1.7213 eV per atom
Offset from the most stable computed form ... 0 meV/atom
Magnetic moment ... 0.0 μB per formula unit

## Mn2AgTe (PBE)

Data for an optimized crystal structure of Mn2AgTe.

Geometry as POSCAR:
```
Mn2AgTe
1.0
-1.992 1.998 4.608
1.992 -1.998 4.608
1.992 1.998 -4.608
Mn Ag Te
2 1 1
Cartesian
0.000 0.000 0.000
0.000 1.998 2.302
0.000 0.000 4.607
1.992 0.000 2.303
```

Calculated values
Formation energy (no corrections) ... 0.3155 eV per atom
Magnetic moment ... 7.8 μB per formula unit

## Sc2CdAgF (PBE)

Data for an optimized crystal structure of Sc2CdAgF.

Geometry as POSCAR:
```
Sc2CdAgF
1.0
5.399 0.000 0.000
0.000 5.399 0.000
0.000 0.000 4.250
Sc Cd Ag F
2 1 1 1
Cartesian
0.000 2.699 0.000
2.699 0.000 0.000
0.000 0.000 2.125
2.699 2.699 0.000
2.699 2.699 2.125
```

Calculated values
Formation energy (no corrections) ... 0.0483 eV per atom
Magnetic moment ... 1.4 μB per formula unit

## Rb2BS3 (PBE)

Data for an optimized crystal structure of Rb2BS3.

Geometry as POSCAR:
```
Rb2BS3
1.0
6.608 -4.541 0.000
6.608 4.541 0.000
0.000 0.000 5.757
Rb B S
4 2 6
Cartesian
4.756 2.838 2.879
8.461 2.838 2.879
4.756 -2.838 0.000
8.461 -2.838 0.000
6.608 1.418 0.006
6.608 -1.418 2.885
6.608 3.241 0.001
5.041 0.483 0.008
5.041 -0.483 2.887
8.176 0.483 0.008
8.176 -0.483 2.887
6.608 -3.241 2.880
```

Calculated values
Formation energy (no corrections) ... -0.7299 eV per atom
Offset from the most stable computed form ... 69 meV/atom
Magnetic moment ... 0.0 μB per formula unit